{"formula": "Ba2TlPd2Pb3", "functional": "PBE", "state": "optimized geometry", "lattice_angstrom": [[-2.971, -3.509, -0.713], [5.337, -2.036, 2.951], [-3.569, 1.509, 7.447]], "species": ["Ba", "Ba", "Pb", "Pb", "Pb", "Pd", "Pd", "Tl"], "fractional_positions": [[0.442, 0.884, 0.254], [0.559, 0.118, 0.746], [0.155, 0.310, 0.054], [0.843, 0.687, 0.553], [0.845, 0.691, 0.946], [0.721, 0.442, 0.247], [0.282, 0.564, 0.752], [0.153, 0.305, 0.448]], "space_group": "Cm, No. 8", "final_energy_ev_per_atom": -3.96}


{"formula": "BaTlPdPb", "functional": "PBE", "state": "optimized geometry", "lattice_angstrom": [[-4.303, -0.011, -1.745], [-0.761, -8.164, 1.927], [-0.023, 1.468, 6.209]], "species": ["Ba", "Ba", "Pb", "Pb", "Pd", "Pd", "Tl", "Tl"], "fractional_positions": [[0.560, 0.000, 0.118], [0.441, 0.500, 0.884], [0.845, 0.195, 0.690], [0.845, 0.805, 0.690], [0.723, 0.500, 0.446], [0.280, 0.000, 0.562], [0.153, 0.302, 0.305], [0.153, 0.698, 0.305]], "space_group": "Pm, No. 6", "relative_energy_mev_per_atom": 1, "final_energy_ev_per_atom": -3.77}


{"formula": "BaPmPb", "functional": "PBE", "state": "optimized geometry", "lattice_angstrom": [[0.000, 3.990, 3.990], [3.990, 0.000, 3.990], [3.990, 3.990, 0.000]], "species": ["Ba", "Pb", "Pm"], "fractional_positions": [[0.250, 0.250, 0.250], [0.000, 0.000, 0.000], [0.750, 0.750, 0.750]], "space_group": "F-43m, No. 216", "relative_energy_mev_per_atom": 0, "final_energy_ev_per_atom": -3.67}


{"formula": "BaPrPb2", "functional": "PBE", "state": "optimized geometry", "lattice_angstrom": [[-2.481, -0.811, 3.828], [2.821, -6.140, 0.528], [5.476, -2.650, 2.988]], "species": ["Ba", "Pb", "Pb", "Pr"], "fractional_positions": [[0.000, 0.361, 0.361], [0.000, 0.091, 0.091], [0.500, 0.920, 0.920], [0.500, 0.628, 0.628]], "space_group": "Amm2, No. 38", "final_energy_ev_per_atom": -4.01}


{"formula": "BaPrPb", "functional": "PBE", "state": "optimized geometry", "lattice_angstrom": [[0.000, 4.015, 4.015], [4.015, 0.000, 4.015], [4.015, 4.015, 0.000]], "species": ["Ba", "Pb", "Pr"], "fractional_positions": [[0.250, 0.250, 0.250], [0.000, 0.000, 0.000], [0.750, 0.750, 0.750]], "space_group": "F-43m, No. 216", "final_energy_ev_per_atom": -3.70}


{"formula": "Ba2Pt3Pb2", "functional": "PBE", "state": "optimized geometry", "lattice_angstrom": [[-1.683, 8.357, 2.738], [-5.797, 5.429, 4.135], [-1.429, 5.361, 7.028]], "species": ["Ba", "Ba", "Pb", "Pb", "Pt", "Pt", "Pt"], "fractional_positions": [[0.249, 0.249, 0.249], [0.751, 0.751, 0.751], [0.507, 0.507, 0.507], [0.993, 0.993, 0.993], [0.376, 0.376, 0.376], [0.624, 0.624, 0.624], [0.874, 0.874, 0.874]], "space_group": "R3m, No. 160", "final_energy_ev_per_atom": -4.56}


{"formula": "RbBaPt2Pb4", "functional": "PBE", "state": "optimized geometry", "lattice_angstrom": [[-3.095, 1.797, -2.943], [1.536, -6.075, -5.325], [-2.902, -4.300, 4.068]], "species": ["Ba", "Pb", "Pb", "Pb", "Pb", "Pt", "Pt", "Rb"], "fractional_positions": [[0.560, 0.000, 0.619], [0.845, 0.199, 0.190], [0.845, 0.801, 0.190], [0.156, 0.302, 0.812], [0.156, 0.698, 0.812], [0.283, 0.000, 0.066], [0.715, 0.500, 0.929], [0.441, 0.500, 0.382]], "space_group": "Amm2, No. 38", "final_energy_ev_per_atom": -4.13}


{"formula": "BaSbPt2Pb", "functional": "PBE", "state": "optimized geometry", "lattice_angstrom": [[4.863, 0.000, 0.000], [0.000, 4.772, 0.000], [-0.299, 0.000, 10.934]], "species": ["Ba", "Ba", "Pb", "Pb", "Pt", "Pt", "Pt", "Pt", "Sb", "Sb"], "fractional_positions": [[0.257, 0.250, 0.259], [0.743, 0.750, 0.741], [0.252, 0.750, 0.001], [0.748, 0.250, 0.999], [0.760, 0.750, 0.143], [0.692, 0.250, 0.498], [0.308, 0.750, 0.502], [0.240, 0.250, 0.857], [0.795, 0.750, 0.387], [0.205, 0.250, 0.613]], "space_group": "P2_1/m, No. 11", "final_energy_ev_per_atom": -5.06}


{"formula": "Ba2TlPt2Pb3", "functional": "PBE", "state": "optimized geometry", "lattice_angstrom": [[-0.062, 3.770, 2.687], [-5.005, -0.161, 4.099], [4.678, -3.940, 5.636]], "species": ["Ba", "Ba", "Pb", "Pb", "Pb", "Pt", "Pt", "Tl"], "fractional_positions": [[0.441, 0.118, 0.255], [0.561, 0.878, 0.747], [0.154, 0.692, 0.053], [0.844, 0.313, 0.552], [0.847, 0.306, 0.947], [0.720, 0.559, 0.246], [0.282, 0.435, 0.752], [0.150, 0.699, 0.448]], "space_group": "Cm, No. 8", "final_energy_ev_per_atom": -4.20}


{"formula": "BaZnPtPb2", "functional": "PBE", "state": "optimized geometry", "lattice_angstrom": [[-2.439, -2.576, -3.373], [2.290, -4.074, 1.455], [-8.423, -2.011, 7.626]], "species": ["Ba", "Ba", "Pb", "Pb", "Pb", "Pb", "Pt", "Pt", "Zn", "Zn"], "fractional_positions": [[0.000, 0.500, 0.249], [0.500, 0.000, 0.751], [0.500, 0.000, 0.135], [0.000, 0.000, 0.500], [0.500, 0.500, 0.500], [0.000, 0.500, 0.865], [0.500, 0.000, 0.375], [0.000, 0.500, 0.625], [0.000, 0.000, 0.000], [0.500, 0.500, 0.000]], "space_group": "P4/nmm, No. 129", "final_energy_ev_per_atom": -3.76}


{"formula": "BaPuPb", "functional": "PBE", "state": "optimized geometry", "lattice_angstrom": [[-3.609, 2.256, 3.755], [-4.370, 3.143, -1.799], [-5.295, -2.005, 0.405]], "species": ["Ba", "Pb", "Pu"], "fractional_positions": [[0.250, 0.250, 0.250], [0.000, 0.000, 0.000], [0.750, 0.750, 0.750]], "space_group": "F-43m, No. 216", "relative_energy_mev_per_atom": 0, "final_energy_ev_per_atom": -6.58}


{"formula": "BaZn2SnPb", "functional": "PBE", "state": "optimized geometry", "lattice_angstrom": [[4.888, 0.000, 0.000], [0.000, 4.888, 0.000], [0.000, 0.000, 11.443]], "species": ["Ba", "Ba", "Pb", "Pb", "Sn", "Sn", "Zn", "Zn", "Zn", "Zn"], "fractional_positions": [[0.000, 0.500, 0.232], [0.500, 0.000, 0.768], [0.000, 0.000, 0.500], [0.500, 0.500, 0.500], [0.500, 0.000, 0.122], [0.000, 0.500, 0.878], [0.000, 0.000, 0.000], [0.500, 0.500, 0.000], [0.500, 0.000, 0.357], [0.000, 0.500, 0.643]], "space_group": "P4/nmm, No. 129", "final_energy_ev_per_atom": -2.80}


Copy entry 11 word for word.
{"formula": "BaPuPb", "functional": "PBE", "state": "optimized geometry", "lattice_angstrom": [[-3.609, 2.256, 3.755], [-4.370, 3.143, -1.799], [-5.295, -2.005, 0.405]], "species": ["Ba", "Pb", "Pu"], "fractional_positions": [[0.250, 0.250, 0.250], [0.000, 0.000, 0.000], [0.750, 0.750, 0.750]], "space_group": "F-43m, No. 216", "relative_energy_mev_per_atom": 0, "final_energy_ev_per_atom": -6.58}